--- one ---
VASP calculation (PBE) on a relaxed structure of BaNaLa2Ir.

Results
DOS(E_F) ... 5.115 states/eV/f.u.
Space group ... P4/mmm (123)

Cell lengths 5.5742, 5.5742, 6.1896 Å; angles 90.00, 90.00, 90.00 degrees
Atoms (fractional coordinates):
Ba: 0.5000 0.5000 0.5000
Ir: 0.0000 0.0000 0.0000
Na: 0.0000 0.0000 0.5000
La: 0.0000 0.5000 0.0000
La: 0.5000 0.0000 0.0000

---

--- two ---
VASP calculation (PBE) on a relaxed structure of BaNaLa2Ir.

Results
DOS(E_F) ... 3.947 states/eV/f.u.
Space group ... P4/mmm (123)

Cell lengths 5.6294, 5.6294, 6.5050 Å; angles 90.00, 90.00, 90.00 degrees
Atoms (fractional coordinates):
La: 0.5000 0.0000 0.0000
La: 0.0000 0.5000 0.0000
Na: 0.5000 0.5000 0.5000
Ba: 0.0000 0.0000 0.5000
Ir: 0.0000 0.0000 0.0000

---

The data favor two; the next most stable structure lies 84 meV/atom above it.